1.
Computed, not measured: a geometry-optimized Nd3ErTh structure at the PBE level of DFT.

Computed properties:
Crystal system: monoclinic
Energy above the most stable polymorph in this dataset: 0.000 eV/atom
Space-group type: P2_1/m
Energy of formation from the pure elements: 0.055 eV/atom
Calculated total energy: -52.02 eV/cell

a b c (Å): 5.894 6.311 9.698
angles (deg): 109.03 90.00 90.00
Fractional coordinates of all 10 atoms:
Nd1 0.750 0.551 0.404
Er1 0.250 0.272 0.200
Th1 0.250 0.875 0.400
Nd2 0.250 0.676 0.008
Th2 0.750 0.125 0.600
Nd3 0.750 0.941 0.211
Nd4 0.250 0.449 0.596
Er2 0.750 0.728 0.800
Nd5 0.750 0.324 0.992
Nd6 0.250 0.059 0.789


2.
Computed, not measured: a geometry-optimized Na2NpSnS4 structure at the PBE level of DFT.

Computed properties:
Crystal system: monoclinic
Space-group type: P2/m
Calculated total energy: -44.68 eV/cell
E_form (uncorrected): -1.074 eV/atom

a b c (Å): 4.048 6.960 7.185
angles (deg): 70.61 90.00 90.00
Fractional coordinates of all 8 atoms:
Sn1 0.500 0.500 0.000
Np1 0.000 0.500 0.500
Na1 0.000 0.000 0.000
S1 0.500 0.724 0.270
Na2 0.500 0.000 0.500
S2 0.000 0.727 0.735
S3 0.500 0.276 0.730
S4 0.000 0.273 0.265


3.
Computed, not measured: a geometry-optimized ThScTc4 structure at the PBE level of DFT.

Computed properties:
Crystal system: cubic
Space-group type: F-43m
Energy of formation from the pure elements: -0.114 eV/atom
Calculated total energy: -55.90 eV/cell

a b c (Å): 5.397 5.397 5.397
angles (deg): 60.00 60.00 60.00
Fractional coordinates of all 6 atoms:
Tc1 0.625 0.625 0.124
Th1 0.250 0.250 0.250
Tc2 0.124 0.625 0.625
Tc3 0.625 0.625 0.625
Sc1 0.000 0.000 0.000
Tc4 0.625 0.124 0.625


4.
Computed, not measured: a geometry-optimized Tb2ErHg3 structure at the PBE level of DFT.

Computed properties:
Crystal system: trigonal
Space-group type: P-3m1
Energy of formation from the pure elements: -0.478 eV/atom
Calculated total energy: -35.20 eV/cell

a b c (Å): 5.256 5.256 12.936
angles (deg): 90.00 90.00 120.00
Fractional coordinates of all 12 atoms:
Hg1 0.667 0.333 0.583
Tb1 0.333 0.667 0.168
Er1 0.333 0.667 0.667
Tb2 0.000 0.000 0.000
Tb3 0.000 0.000 0.500
Hg2 0.667 0.333 0.084
Hg3 0.333 0.667 0.417
Hg4 0.333 0.667 0.916
Hg5 0.000 0.000 0.749
Hg6 0.000 0.000 0.251
Tb4 0.667 0.333 0.832
Er2 0.667 0.333 0.333


Number 1: N(E_F) 8.371 states/eV/f.u.. Number 2: N(E_F) 7.825 states/eV/f.u.. Number 3: N(E_F) 11.497 states/eV/f.u.. Number 4: N(E_F) 6.157 states/eV/f.u..